(1)
AcTbSmHo | PBE | optimized geometry

## Properties
Polymorph energy (0 for the lowest one) ... 95 meV per atom
ΔH_f (0 K) ... 0.221 eV per atom

a = 3.5270 Å, b = 5.7614 Å, c = 7.0232 Å
α = 90.00°, β = 90.00°, γ = 90.00°
With the nearest neighbours (Å) after each atom.
Positions (direct):
Ac1 0.0000 0.0000 0.0000  2 Ho 3.40-3.62, 2 Sm 3.50, 2 Ac 3.53
Tb1 0.5000 0.5000 0.7411  2 Tb 3.53, 2 Sm 3.68, 4 Ho 3.73, 4 Ac 3.84
Sm1 0.0000 0.5000 0.2818  2 Ho 3.32, 2 Ac 3.50, 2 Sm 3.53, 2 Tb 3.68
Ho1 0.0000 0.0000 0.5159  2 Sm 3.32, 2 Ac 3.40-3.62, 2 Ho 3.53

(2)
AcTb2SmHo5 | PBE | optimized geometry

## Properties
ΔH_f (0 K) ... 0.270 eV per atom

a = 9.8780 Å, b = 9.8780 Å, c = 9.8780 Å
α = 126.40°, β = 126.40°, γ = 79.24°
With the nearest neighbours (Å) after each atom.
Positions (direct):
Ac1 0.2500 0.2500 0.0000  10 Ho 3.70-3.80
Ac2 0.7500 0.7500 0.0000  10 Ho 3.70-3.80
Tb1 0.1145 0.6145 0.7290  1 Tb 2.89, 2 Ho 3.01
Tb2 0.3855 0.1145 0.5000  1 Tb 2.89, 2 Ho 3.01
Tb3 0.6145 0.8855 0.5000  1 Tb 2.89, 2 Ho 3.01
Tb4 0.8855 0.3855 0.2710  1 Tb 2.89, 2 Ho 3.01
Sm1 0.2500 0.7500 0.5000  4 Ho 3.16
Sm2 0.7500 0.2500 0.5000  4 Ho 3.16
Ho1 0.0000 0.0000 0.0000  4 Tb 3.58, 8 Ho 3.75, 2 Ac 3.80
Ho2 0.0750 0.1689 0.5000  1 Tb 3.01, 1 Sm 3.16
Ho3 0.1689 0.6689 0.0939  1 Tb 3.01, 1 Sm 3.16
Ho4 0.3311 0.4250 0.5000  1 Tb 3.01, 1 Sm 3.16
Ho5 0.4250 0.9250 0.0939  1 Tb 3.01, 1 Sm 3.16
Ho6 0.5000 0.5000 0.0000  4 Tb 3.58, 8 Ho 3.75, 2 Ac 3.80
Ho7 0.5750 0.0750 0.9061  1 Tb 3.01, 1 Sm 3.16
Ho8 0.6689 0.5750 0.5000  1 Tb 3.01, 1 Sm 3.16
Ho9 0.8311 0.3311 0.9061  1 Tb 3.01, 1 Sm 3.16
Ho10 0.9250 0.8311 0.5000  1 Tb 3.01, 1 Sm 3.16

(3)
AcTbSmHo | PBE | optimized geometry

## Properties
Polymorph energy (0 for the lowest one) ... 0 meV per atom
ΔH_f (0 K) ... 0.126 eV per atom

a = 5.8519 Å, b = 5.8519 Å, c = 5.8519 Å
α = 60.00°, β = 60.00°, γ = 60.00°
With the nearest neighbours (Å) after each atom.
Positions (direct):
Ac1 0.0000 0.0000 0.0000  4 Ho 3.58, 4 Tb 3.58
Tb1 0.2500 0.2500 0.2500  4 Ac 3.58, 4 Sm 3.58
Sm1 0.5000 0.5000 0.5000  4 Ho 3.58, 4 Tb 3.58
Ho1 0.7500 0.7500 0.7500  4 Ac 3.58, 4 Sm 3.58

Values for VASP energy, eV/atom, ordered as above
-4.288; -4.283; -4.383
Values for V, Å³/cell, ordered as above
142.7; 603.8; 141.7
Values for M_tot, Bohr magnetons per cell, ordered as above
0.0; 0.0; 0.0